(1)
Below is SrAlSe2N after structural relaxation, with properties calculated at the PBE level.

Calculated values
* E above lowest polymorph: 1555 meV per atom

Cell lengths 5.7902, 5.7902, 4.4887 Å; angles 90.00, 90.00, 90.00 degrees
Space group P4/mmm (No. 123)
One atom of each set of equivalent atoms:
1 Sr 0.0000 0.0000 0.0000 (multiplicity 1)
2 Al 0.5000 0.5000 0.5000 (multiplicity 1)
3 Se 0.0000 0.5000 0.0000 (multiplicity 2)
4 N 0.0000 0.0000 0.5000 (multiplicity 1)

(2)
Below is Ba6P2Au3Cl after structural relaxation, with properties calculated at the PBE level.

Cell lengths 20.6896, 4.6820, 9.5813 Å; angles 90.00, 105.10, 90.00 degrees
Space group C2/m (No. 12)
One atom of each set of equivalent atoms:
1 Ba 0.0081 0.0000 0.2567 (multiplicity 4)
2 Ba 0.1693 0.5000 0.0992 (multiplicity 4)
3 Ba 0.1714 0.5000 0.5640 (multiplicity 4)
4 P 0.1639 0.0000 0.3213 (multiplicity 4)
5 Au 0.0000 0.5000 0.5000 (multiplicity 2)
6 Au 0.1617 0.0000 0.8288 (multiplicity 4)
7 Cl 0.0000 0.5000 0.0000 (multiplicity 2)

Let's list total magnetic moment in order: 0.1; 0.0 Bohr magnetons per cell.
Let's list formation energy from raw total energies in order: 919.2; -1022.1 meV per atom.